No. 1
Computed, not measured: crystalline BaAlAsH2 at its relaxed geometry at the PBE level of DFT.

Cell and atoms, written as POSCAR:
```
BaAlAsH2
1.0
4.4091 0.0000 0.0000
0.0000 4.4091 0.0000
0.0000 0.0000 4.9345
Ba Al As H
1 1 1 2
Direct
0.0000 0.0000 0.0000
0.5000 0.5000 0.3489
0.5000 0.5000 0.8391
0.0000 0.5000 0.3332
0.5000 0.0000 0.3332
```

Values from the calculation:
- space group = P4mm, No. 99
- crystal system = tetragonal
- DOS at the Fermi energy (states/eV/atom) = 0.276
- E (eV per cell) = -18.4


No. 2
Computed, not measured: crystalline Ba2LaAl2As4 at its relaxed geometry at the PBE level of DFT.

Cell and atoms, written as POSCAR:
```
Ba2LaAl2As4
1.0
7.9847 -2.1753 0.0000
7.9847 2.1753 0.0000
-2.6314 0.0000 7.3375
Ba La Al As
2 1 2 4
Direct
0.1295 0.1295 0.0556
0.8705 0.8705 0.9444
0.0000 0.0000 0.5000
0.3255 0.3255 0.5154
0.6745 0.6745 0.4846
0.2093 0.2093 0.6780
0.4740 0.4740 0.7546
0.5260 0.5260 0.2454
0.7907 0.7907 0.3220
```

Values from the calculation:
- space group = C2/m, No. 12
- crystal system = monoclinic
- DOS at the Fermi energy (states/eV/atom) = 0.439
- E (eV per cell) = -43.6


No. 3
Computed, not measured: crystalline BaAlAsO6 at its relaxed geometry at the PBE level of DFT.

Cell and atoms, written as POSCAR:
```
BaAlAsO6
1.0
5.0476 0.0000 0.0000
-2.5238 4.3714 0.0000
0.0000 0.0000 5.8651
Ba Al As O
1 1 1 6
Direct
0.0000 0.0000 0.0000
0.6667 0.3333 0.5000
0.3333 0.6667 0.5000
0.0111 0.3882 0.6787
0.0111 0.6230 0.3213
0.3770 0.3882 0.3213
0.3770 0.9889 0.6787
0.6118 0.6230 0.6787
0.6118 0.9889 0.3213
```

Values from the calculation:
- uncorrected formation energy (eV per formula unit) = -16.2
- space group = P312, No. 149
- crystal system = trigonal
- DOS at the Fermi energy (states/eV/atom) = 0.694
- E (eV per cell) = -56.3


No. 4
Computed, not measured: crystalline Ba2AlAsP at its relaxed geometry at the PBE level of DFT.

Cell and atoms, written as POSCAR:
```
Ba2AlAsP
1.0
4.3210 0.0000 0.0000
0.0000 8.9380 0.0000
0.0000 0.0000 8.0650
Ba Al As P
4 2 2 2
Direct
0.2500 0.0132 0.2354
0.2500 0.4868 0.2354
0.7500 0.5132 0.7646
0.7500 0.9868 0.7646
0.2500 0.2500 0.5927
0.7500 0.7500 0.4073
0.2500 0.2500 0.8924
0.7500 0.7500 0.1076
0.2500 0.7500 0.5488
0.7500 0.2500 0.4512
```

Values from the calculation:
- space group = Pmmn, No. 59
- crystal system = orthorhombic
- DOS at the Fermi energy (states/eV/atom) = 0.281
- E (eV per cell) = -43.8


No. 5
Computed, not measured: crystalline Ba2PmAl2As4 at its relaxed geometry at the PBE level of DFT.

Cell and atoms, written as POSCAR:
```
Ba2PmAl2As4
1.0
7.8890 -2.1331 0.0000
7.8890 2.1331 0.0000
-2.5461 0.0000 7.3641
Ba Pm Al As
2 1 2 4
Direct
0.1282 0.1282 0.0514
0.8718 0.8718 0.9486
0.0000 0.0000 0.5000
0.3269 0.3269 0.5182
0.6731 0.6731 0.4818
0.2077 0.2077 0.6808
0.4766 0.4766 0.7515
0.5234 0.5234 0.2485
0.7923 0.7923 0.3192
```

Values from the calculation:
- space group = C2/m, No. 12
- crystal system = monoclinic
- DOS at the Fermi energy (states/eV/atom) = 0.425
- E (eV per cell) = -43.2


No. 6
Computed, not measured: crystalline Ba2AlAsPt6 at its relaxed geometry at the PBE level of DFT.

Cell and atoms, written as POSCAR:
```
Ba2AlAsPt6
1.0
6.7614 0.0000 0.0000
3.3770 5.8738 0.0000
3.3804 1.9271 5.6372
Ba Al As Pt
2 1 1 6
Direct
0.2089 0.2090 0.3734
0.7911 0.7910 0.6266
0.5000 0.5000 0.5000
0.0000 0.0000 0.0000
0.2487 0.2482 0.8542
0.2492 0.6474 0.8566
0.3503 0.7524 0.1460
0.6497 0.2476 0.8540
0.7508 0.3526 0.1434
0.7513 0.7518 0.1458
```

Values from the calculation:
- space group = P-1, No. 2
- crystal system = triclinic
- DOS at the Fermi energy (states/eV/atom) = 0.543
- E (eV per cell) = -55.9


No. 7
Computed, not measured: crystalline RbBaAlAs2 at its relaxed geometry at the PBE level of DFT.

Cell and atoms, written as POSCAR:
```
RbBaAlAs2
1.0
5.2979 0.0000 0.0000
0.0000 5.2979 0.0000
0.0000 0.0000 5.5249
Rb Ba Al As
1 1 1 2
Direct
0.0000 0.0000 0.0000
0.5000 0.5000 0.0000
0.0000 0.0000 0.5000
0.0000 0.5000 0.5000
0.5000 0.0000 0.5000
```

Values from the calculation:
- space group = P4/mmm, No. 123
- crystal system = tetragonal
- DOS at the Fermi energy (states/eV/atom) = 0.405
- E (eV per cell) = -16.1


No. 8
Computed, not measured: crystalline BaAlAsRh2 at its relaxed geometry at the PBE level of DFT.

Cell and atoms, written as POSCAR:
```
BaAlAsRh2
1.0
4.6698 0.0000 0.0000
0.0000 4.6698 0.0000
0.0000 0.0000 6.0258
Ba Al As Rh
1 1 1 2
Direct
0.0000 0.0000 0.0000
0.5000 0.5000 0.0000
0.0000 0.0000 0.5000
0.0000 0.5000 0.5000
0.5000 0.0000 0.5000
```

Values from the calculation:
- space group = P4/mmm, No. 123
- crystal system = tetragonal
- DOS at the Fermi energy (states/eV/atom) = 0.789
- E (eV per cell) = -23.4